# GGA-PBE PrNpNi, relaxed
# Energy above the lowest structure with this stoichiometry in meV per atom: 0
# V in Å³/cell: 70.0
# SG: No. 216
data_PrNpNi
_cell_length_a 4.626
_cell_length_b 4.626
_cell_length_c 4.626
_cell_angle_alpha 60.00
_cell_angle_beta 60.00
_cell_angle_gamma 60.00
_symmetry_space_group_name_H-M 'P 1'
_symmetry_Int_Tables_number 1
loop_
_symmetry_equiv_pos_as_xyz
'x,y,z'
loop_
_atom_site_label
_atom_site_type_symbol
_atom_site_fract_x
_atom_site_fract_y
_atom_site_fract_z
_atom_site_occupancy
Np1 Np 0.750 0.750 0.750 1
Pr1 Pr 0.250 0.250 0.250 1
Ni1 Ni 0.000 0.000 0.000 1


# GGA-PBE Np3NiS6, relaxed
# V in Å³/cell: 422.4
# SG: No. 36
data_Np3NiS6
_cell_length_a 8.322
_cell_length_b 8.322
_cell_length_c 6.226
_cell_angle_alpha 90.00
_cell_angle_beta 90.00
_cell_angle_gamma 101.52
_symmetry_space_group_name_H-M 'P 1'
_symmetry_Int_Tables_number 1
loop_
_symmetry_equiv_pos_as_xyz
'x,y,z'
loop_
_atom_site_label
_atom_site_type_symbol
_atom_site_fract_x
_atom_site_fract_y
_atom_site_fract_z
_atom_site_occupancy
Ni1 Ni 0.694 0.306 0.546 1
S1 S 0.595 0.062 0.696 1
Np1 Np 0.428 0.222 0.974 1
S2 S 0.938 0.405 0.696 1
S3 S 0.868 0.809 0.680 1
S4 S 0.724 0.276 0.179 1
S5 S 0.533 0.467 0.673 1
Ni2 Ni 0.306 0.694 0.046 1
Np2 Np 0.572 0.778 0.474 1
S6 S 0.405 0.938 0.196 1
S7 S 0.276 0.724 0.679 1
S8 S 0.062 0.595 0.196 1
S9 S 0.191 0.132 0.680 1
S10 S 0.132 0.191 0.180 1
Np3 Np 0.890 0.110 0.885 1
Np4 Np 0.222 0.428 0.474 1
S11 S 0.809 0.868 0.180 1
Np5 Np 0.778 0.572 0.974 1
S12 S 0.467 0.533 0.173 1
Np6 Np 0.110 0.890 0.385 1


# GGA-PBE NpNiTe, relaxed
# Energy above the lowest structure with this stoichiometry in meV per atom: 0
# V in Å³/cell: 65.1
# SG: No. 216
data_NpNiTe
_cell_length_a 4.514
_cell_length_b 4.514
_cell_length_c 4.514
_cell_angle_alpha 60.00
_cell_angle_beta 60.00
_cell_angle_gamma 60.00
_symmetry_space_group_name_H-M 'P 1'
_symmetry_Int_Tables_number 1
loop_
_symmetry_equiv_pos_as_xyz
'x,y,z'
loop_
_atom_site_label
_atom_site_type_symbol
_atom_site_fract_x
_atom_site_fract_y
_atom_site_fract_z
_atom_site_occupancy
Np1 Np 0.250 0.250 0.250 1
Ni1 Ni 0.000 0.000 0.000 1
Te1 Te 0.750 0.750 0.750 1


# GGA-PBE ThNpNi, relaxed
# Energy above the lowest structure with this stoichiometry in meV per atom: 0
# V in Å³/cell: 73.9
# SG: No. 216
data_ThNpNi
_cell_length_a 4.710
_cell_length_b 4.710
_cell_length_c 4.710
_cell_angle_alpha 60.00
_cell_angle_beta 60.00
_cell_angle_gamma 60.00
_symmetry_space_group_name_H-M 'P 1'
_symmetry_Int_Tables_number 1
loop_
_symmetry_equiv_pos_as_xyz
'x,y,z'
loop_
_atom_site_label
_atom_site_type_symbol
_atom_site_fract_x
_atom_site_fract_y
_atom_site_fract_z
_atom_site_occupancy
Np1 Np 0.750 0.750 0.750 1
Th1 Th 0.250 0.250 0.250 1
Ni1 Ni 0.000 0.000 0.000 1


# GGA-PBE NpTlNi, relaxed
# V in Å³/cell: 64.9
# SG: No. 216
data_NpTlNi
_cell_length_a 4.510
_cell_length_b 4.510
_cell_length_c 4.510
_cell_angle_alpha 60.00
_cell_angle_beta 60.00
_cell_angle_gamma 60.00
_symmetry_space_group_name_H-M 'P 1'
_symmetry_Int_Tables_number 1
loop_
_symmetry_equiv_pos_as_xyz
'x,y,z'
loop_
_atom_site_label
_atom_site_type_symbol
_atom_site_fract_x
_atom_site_fract_y
_atom_site_fract_z
_atom_site_occupancy
Ni1 Ni 0.000 0.000 0.000 1
Tl1 Tl 0.250 0.250 0.250 1
Np1 Np 0.750 0.750 0.750 1


# GGA-PBE NpTlNi, relaxed
# V in Å³/cell: 93.8
# SG: No. 216
data_NpTlNi
_cell_length_a 5.100
_cell_length_b 5.100
_cell_length_c 5.100
_cell_angle_alpha 60.00
_cell_angle_beta 60.00
_cell_angle_gamma 60.00
_symmetry_space_group_name_H-M 'P 1'
_symmetry_Int_Tables_number 1
loop_
_symmetry_equiv_pos_as_xyz
'x,y,z'
loop_
_atom_site_label
_atom_site_type_symbol
_atom_site_fract_x
_atom_site_fract_y
_atom_site_fract_z
_atom_site_occupancy
Ni1 Ni 0.000 0.000 0.000 1
Tl1 Tl 0.500 0.500 0.500 1
Np1 Np 0.750 0.750 0.750 1


Number 1: uncorrected energy -20.80 eV/cell. Number 2: uncorrected energy -162.37 eV/cell. Number 3: uncorrected energy -21.84 eV/cell. Number 4: uncorrected energy -23.90 eV/cell. Number 5: uncorrected energy -19.90 eV/cell. Number 6: uncorrected energy -17.68 eV/cell.